A plane-wave DFT calculation with PBE-GGA was carried out for ScHgBr after structural relaxation.

```
ScHgBr
1.0
4.7310 0.0000 0.0000
-2.3655 4.0972 0.0000
0.0000 0.0000 3.8757
Sc Hg Br
1 1 1
Cartesian
0.0000 0.0000 0.0000 Sc
2.3655 1.3657 1.9378 Hg
0.0000 2.7314 0.0000 Br
```

E above lowest polymorph ... 342.7 meV/atom
Space-group type ... P-6m2 (187)
VASP energy ... -3.2295 eV per atom
ΔE_f (raw) ... -0.4608 eV/atom

---

A plane-wave DFT calculation with PBE-GGA was carried out for TaNi2BP after structural relaxation.

```
TaNi2BP
1.0
3.9699 0.0000 0.0000
0.0000 3.9699 0.0000
0.0000 0.0000 4.7213
Ta Ni B P
1 2 1 1
Cartesian
0.0000 0.0000 0.0000 Ta
0.0000 1.9850 2.3607 Ni
1.9850 0.0000 2.3607 Ni
1.9850 1.9850 0.0000 B
0.0000 0.0000 2.3607 P
```

Formation energy ... 0.67 eV per atom
Space-group type ... P4/mmm (123)
VASP energy ... -6.4265 eV per atom

---

A plane-wave DFT calculation with PBE-GGA was carried out for Ho2Sc3Os2 after structural relaxation.

```
Ho2Sc3Os2
1.0
5.3800 -2.0230 0.0000
5.3800 2.0230 0.0000
-2.9709 0.0000 7.2336
Ho Sc Os
2 3 2
Cartesian
0.7678 0.0000 2.1914 Ho
7.0214 0.0000 5.0422 Ho
3.7580 0.0000 0.4944 Sc
3.8946 0.0000 3.6168 Sc
4.0311 0.0000 6.7392 Sc
-0.4389 0.0000 5.1610 Os
8.2280 0.0000 2.0726 Os
```

Formation energy ... -0.31 eV per atom
Space-group type ... C2/m (12)
VASP energy ... -7.5422 eV per atom

---

A plane-wave DFT calculation with PBE-GGA was carried out for Ce4GeOsCl2 after structural relaxation.

```
Ce4GeOsCl2
1.0
7.2284 0.0000 0.0000
0.0000 4.1206 0.0000
-2.3285 0.0000 6.9365
Ce Ge Os Cl
4 1 1 2
Cartesian
1.0832 0.0000 1.5798 Ce
-0.1130 2.0603 5.2957 Ce
5.0129 2.0603 1.6408 Ce
3.8167 0.0000 5.3567 Ce
-1.1642 0.0000 3.4682 Ge
0.0000 2.0603 0.0000 Os
3.6142 0.0000 0.0000 Cl
2.4499 2.0603 3.4682 Cl
```

Space-group type ... P2/m (10)
VASP energy ... -6.3824 eV per atom
ΔE_f (raw) ... -0.9730 eV/atom

---

A plane-wave DFT calculation with PBE-GGA was carried out for Ba4YPa3N8 after structural relaxation.

```
Ba4YPa3N8
1.0
3.6340 2.0981 6.4634
-3.6340 2.0981 6.4634
0.0000 -4.1962 6.4634
Ba Y Pa N
4 1 3 8
Cartesian
0.0000 0.0000 0.0000 Ba
-1.8170 -1.0490 6.4634 Ba
-1.8170 1.0490 12.9267 Ba
0.0000 2.0981 6.4634 Ba
0.0000 0.0000 9.6951 Y
-3.6340 0.0000 9.6951 Pa
-1.8170 1.0490 3.2317 Pa
1.8170 1.0490 3.2317 Pa
-1.9120 -1.1039 10.8293 N
0.0000 0.0000 4.3574 N
0.0000 -2.2078 8.5608 N
-1.9120 1.1039 8.5608 N
1.9120 -1.1039 10.8293 N
0.0000 2.2078 10.8293 N
0.0000 0.0000 15.0327 N
1.9120 1.1039 8.5608 N
```

Space-group type ... R-3m (166)
VASP energy ... -8.0916 eV per atom
ΔE_f (raw) ... -1.2637 eV/atom

---

A plane-wave DFT calculation with PBE-GGA was carried out for Pr4NiRuI2 after structural relaxation.

```
Pr4NiRuI2
1.0
7.1903 0.0000 0.0000
0.0000 4.1708 0.0000
-2.4130 0.0000 8.2304
Pr Ni Ru I
4 1 1 2
Cartesian
1.1726 0.0000 1.5519 Pr
-0.0310 2.0854 6.7279 Pr
4.8083 2.0854 1.5024 Pr
3.6047 0.0000 6.6785 Pr
3.5952 0.0000 0.0000 Ni
0.0000 2.0854 0.0000 Ru
-1.2065 0.0000 4.1152 I
2.3886 2.0854 4.1152 I
```

Space-group type ... P2/m (10)
VASP energy ... -5.3387 eV per atom
ΔE_f (raw) ... -0.6793 eV/atom

---

A plane-wave DFT calculation with PBE-GGA was carried out for CdIn2Cu after structural relaxation.

```
CdIn2Cu
1.0
0.0000 3.5396 3.5396
3.5396 0.0000 3.5396
3.5396 3.5396 0.0000
Cd In Cu
1 2 1
Cartesian
0.0000 0.0000 0.0000 Cd
1.7698 1.7698 1.7698 In
3.5396 3.5396 3.5396 In
5.3093 5.3093 5.3093 Cu
```

Formation energy ... 0.20 eV per atom
Space-group type ... F-43m (216)
VASP energy ... -2.4188 eV per atom

---

A plane-wave DFT calculation with PBE-GGA was carried out for Ac2PuSe5 after structural relaxation.

```
Ac2PuSe5
1.0
8.2331 0.0000 0.0000
0.0000 12.5753 0.0000
0.0000 0.0000 4.4224
Ac Pu Se
4 2 10
Cartesian
0.4637 2.1638 0.0000 Ac
3.6528 8.4515 0.0000 Ac
4.5803 4.1238 0.0000 Ac
7.7694 10.4115 0.0000 Ac
0.0000 6.2877 2.2112 Pu
4.1165 0.0000 2.2112 Pu
0.0000 0.0000 2.2112 Se
1.2967 8.8479 2.2112 Se
1.4771 5.2788 0.0000 Se
2.6394 11.5665 0.0000 Se
2.8199 2.5602 2.2112 Se
4.1165 6.2877 2.2112 Se
5.4132 10.0151 2.2112 Se
5.5936 1.0088 0.0000 Se
6.7560 7.2965 0.0000 Se
6.9364 3.7274 2.2112 Se
```

Space-group type ... Pbam (55)
VASP energy ... -6.7474 eV per atom
ΔE_f (raw) ... -1.7510 eV/atom

---

A plane-wave DFT calculation with PBE-GGA was carried out for Ca2AgGe2Pd5 after structural relaxation.

```
Ca2AgGe2Pd5
1.0
10.1224 0.0000 0.0000
0.0000 10.1224 0.0000
0.0000 0.0000 3.5955
Ca Ag Ge Pd
4 2 4 10
Cartesian
1.7671 3.2941 0.0000 Ca
3.2941 8.3552 0.0000 Ca
6.8283 1.7671 0.0000 Ca
8.3552 6.8283 0.0000 Ca
0.0000 0.0000 0.0000 Ag
5.0612 5.0612 0.0000 Ag
1.2714 6.3325 0.0000 Ge
3.7898 1.2714 0.0000 Ge
6.3325 8.8510 0.0000 Ge
8.8510 3.7898 0.0000 Ge
0.0000 5.0612 1.7978 Pd
0.6343 8.0203 1.7978 Pd
2.1020 0.6343 1.7978 Pd
2.9592 5.6955 1.7978 Pd
4.4268 2.9592 1.7978 Pd
5.0612 0.0000 1.7978 Pd
5.6955 7.1632 1.7978 Pd
7.1632 4.4268 1.7978 Pd
8.0203 9.4880 1.7978 Pd
9.4880 2.1020 1.7978 Pd
```

Formation energy ... -0.57 eV per atom
Space-group type ... P4/mbm (127)
VASP energy ... -4.7801 eV per atom

---

A plane-wave DFT calculation with PBE-GGA was carried out for Cs2MgTl7 after structural relaxation.

```
Cs2MgTl7
1.0
5.3256 0.0000 0.0000
0.0000 5.3256 0.0000
0.0000 0.0000 13.1428
Cs Mg Tl
2 1 7
Cartesian
0.0000 2.6628 3.2856 Cs
2.6628 0.0000 9.8572 Cs
0.0000 0.0000 6.5714 Mg
0.0000 0.0000 0.0000 Tl
0.0000 2.6628 8.2036 Tl
0.0000 2.6628 11.3486 Tl
2.6628 0.0000 1.7941 Tl
2.6628 0.0000 4.9392 Tl
2.6628 2.6628 0.0000 Tl
2.6628 2.6628 6.5714 Tl
```

Formation energy ... -0.04 eV per atom
Space-group type ... P-4m2 (115)
VASP energy ... -2.0309 eV per atom

---

A plane-wave DFT calculation with PBE-GGA was carried out for BaFeAu3 after structural relaxation.

```
BaFeAu3
1.0
5.0374 0.0000 0.0000
0.0000 5.0374 0.0000
0.0000 0.0000 5.0374
Ba Fe Au
1 1 3
Cartesian
0.0000 0.0000 0.0000 Ba
2.5187 2.5187 2.5187 Fe
0.0000 2.5187 2.5187 Au
2.5187 0.0000 2.5187 Au
2.5187 2.5187 0.0000 Au
```

E above lowest polymorph ... 0.0 meV/atom
Formation energy ... -0.18 eV per atom
Space-group type ... Pm-3m (221)
VASP energy ... -4.2205 eV per atom

---

A plane-wave DFT calculation with PBE-GGA was carried out for Cs4Ce3NdS8 after structural relaxation.

```
Cs4Ce3NdS8
1.0
4.2684 2.4643 8.0670
-4.2684 2.4643 8.0670
0.0000 -4.9287 8.0670
Cs Ce Nd S
4 3 1 8
Cartesian
0.0000 0.0000 0.0000 Cs
-2.1342 -1.2322 8.0670 Cs
-2.1342 1.2322 16.1340 Cs
0.0000 2.4643 8.0670 Cs
-4.2684 0.0000 12.1005 Ce
-2.1342 1.2322 4.0335 Ce
2.1342 1.2322 4.0335 Ce
0.0000 0.0000 12.1005 Nd
0.0000 0.0000 5.5218 S
-2.1364 -1.2335 13.5964 S
0.0000 -2.4669 10.6046 S
-2.1364 1.2335 10.6046 S
2.1364 -1.2335 13.5963 S
0.0000 2.4669 13.5963 S
2.1364 1.2335 10.6046 S
0.0000 0.0000 18.6792 S
```

Space-group type ... R-3m (166)
VASP energy ... -5.4525 eV per atom
ΔE_f (raw) ... -1.7648 eV/atom